Record 1
Na2CaGd after structural relaxation. Source: Alexandria, functional PBE.

Cell lengths 13.706, 13.706, 13.706 Å; angles 15.11, 15.11, 15.11 degrees
Fractional positions:
Na  0.086  0.086  0.086
Na  0.914  0.914  0.914
Ca  0.500  0.500  0.500
Gd  0.000  0.000  0.000

magnetic moment = 2.04 μB per atom
final energy = -17.67 eV/cell



Record 2
NaCaGd2 after structural relaxation. Source: Alexandria, functional PBE.

Cell lengths 13.364, 13.364, 13.364 Å; angles 15.36, 15.36, 15.36 degrees
Fractional positions:
Na  0.000  0.000  0.000
Ca  0.500  0.500  0.500
Gd  0.089  0.089  0.089
Gd  0.911  0.911  0.911

magnetic moment = 3.96 μB per atom
final energy = -30.50 eV/cell



Record 3
NaCaGd after structural relaxation. Source: Alexandria, functional PBE.

Cell lengths 8.722, 8.722, 8.722 Å; angles 156.00, 156.00, 34.20 degrees
Fractional positions:
Na  0.000  0.000  0.000
Ca  0.673  0.673  0.000
Gd  0.335  0.335  0.000

magnetic moment = 2.58 μB per atom
offset from the most stable computed form = 17.5 meV/atom